No. 1
Entry from Alexandria via LeMat-Bulk: a relaxed AgSbTe2 crystal (GGA-PBE).

Cell lengths 11.3754, 11.3754, 11.3754 Å; angles 16.97, 16.97, 16.97 degrees
Sites, in units of the cell vectors:
Sb 0.0000 0.0000 0.0000
Te 0.9047 0.9047 0.9047
Te 0.0953 0.0953 0.0953
Ag 0.5000 0.5000 0.5000

Values from the calculation:
ΔE_f (raw), eV per atom: 0.199
Total moment, μB per formula unit: 0.00
V, Å³ per cell: 109.4
Space group: R-3m (166)

No. 2
Entry from Alexandria via LeMat-Bulk: a relaxed BeSbAu3 crystal (GGA-PBE).

Cell lengths 4.5626, 4.5626, 4.5626 Å; angles 90.00, 90.00, 90.00 degrees
Sites, in units of the cell vectors:
Sb 0.5000 0.5000 0.5000
Au 0.0000 0.5000 0.0000
Au 0.0000 0.0000 0.5000
Au 0.5000 0.0000 0.0000
Be 0.0000 0.0000 0.0000

Values from the calculation:
ΔE_f (raw), eV per atom: 0.142
Total moment, μB per formula unit: 0.00
V, Å³ per cell: 95.0
ΔE to the lowest computed polymorph, eV per atom: 0.000
Space group: Pm-3m (221)